1.
Dy2Cu4Ni3: optimized geometry, PBE-GGA.

Results
Magnetization: 0.0 μB/cell
Formation enthalpy at 0 K: -0.318 eV/atom

Cell: 4.8761 8.6043 12.5543 Å, 90.00 90.00 90.00°
With the nearest neighbours (Å) after each atom.
Space group Fmmm (No. 69)
Asymmetric unit:
Dy 0.0000 0.0000 0.1304 (multiplicity 8)  8 Cu 2.88-2.92, 6 Ni 2.94-2.97
Cu 0.0000 0.1687 0.3321 (multiplicity 16)  1 Cu 2.49, 3 Ni 2.53-2.56
Ni 0.0000 0.0000 0.5000 (multiplicity 4)  4 Ni 2.47, 4 Cu 2.56
Ni 0.2500 0.2500 0.0000 (multiplicity 8)  4 Ni 2.44-2.47, 4 Cu 2.53

2.
Li2Mg2Ga2AgAu: optimized geometry, PBE-GGA.

Results
DFT total energy: -0.1009 Ha/atom

Cell: 4.5404 4.5404 6.3814 Å, 90.00 90.00 90.00°
With the nearest neighbours (Å) after each atom.
Space group P-4m2 (No. 115)
Asymmetric unit:
Li 0.0000 0.0000 0.0000 (multiplicity 1)  4 Mg 2.76, 4 Ga 2.77
Li 0.5000 0.5000 0.5000 (multiplicity 1)  4 Ga 2.78, 4 Mg 2.78
Mg 0.0000 0.5000 0.2473 (multiplicity 2)  4 Li 2.76-2.78, 2 Au 2.76, 2 Ag 2.78
Ga 0.0000 0.5000 0.7512 (multiplicity 2)  4 Li 2.77-2.78, 2 Au 2.77, 2 Ag 2.78
Ag 0.0000 0.0000 0.5000 (multiplicity 1)  4 Ga 2.78, 4 Mg 2.78
Au 0.5000 0.5000 0.0000 (multiplicity 1)  4 Mg 2.76, 4 Ga 2.77

3.
YB2Os: optimized geometry, PBE-GGA.

Results
Magnetization: 0.0 μB/cell
DFT total energy: -0.2364 Ha/atom

Cell: 6.0503 6.0503 6.0503 Å, 90.00 90.00 90.00°
With the nearest neighbours (Å) after each atom.
Space group F-43m (No. 216)
Asymmetric unit:
Y 0.0000 0.0000 0.0000 (multiplicity 4)  4 Os 2.62, 4 B 2.62
B 0.0000 0.0000 0.5000 (multiplicity 4)  4 Os 2.62, 4 B 2.62
B 0.2500 0.2500 0.2500 (multiplicity 4)  4 B 2.62, 4 Y 2.62
Os 0.2500 0.2500 0.7500 (multiplicity 4)  4 B 2.62, 4 Y 2.62

4.
LiLaFeS3: optimized geometry, PBE-GGA.

Results
Magnetization: 16.0 μB/cell
DFT total energy: -0.2134 Ha/atom

Cell: 3.9823 11.5197 11.2522 Å, 90.00 90.00 90.00°
With the nearest neighbours (Å) after each atom.
Space group Cmcm (No. 63)
Asymmetric unit:
Li 0.0000 0.2396 0.2500 (multiplicity 4)  6 S 2.84-2.89, 2 Fe 3.16
La 0.0000 0.0000 0.0000 (multiplicity 4)  6 S 2.85-2.96
Fe 0.0000 0.4737 0.7500 (multiplicity 4)  4 S 2.26-2.33
S 0.0000 0.0786 0.7500 (multiplicity 4)  2 Fe 2.33
S 0.0000 0.3490 0.5946 (multiplicity 8)  1 Fe 2.26

5.
NdAgPbS3: optimized geometry, PBE-GGA.

Results
Magnetization: 0.0 μB/cell
DFT total energy: -0.1819 Ha/atom

Cell: 4.0953 13.2527 10.6914 Å, 90.00 90.00 90.00°
With the nearest neighbours (Å) after each atom.
Space group Cmcm (No. 63)
Asymmetric unit:
Nd 0.0000 0.0000 0.0000 (multiplicity 4)  6 S 2.86-2.93
Ag 0.0000 0.4704 0.2500 (multiplicity 4)  4 S 2.51-2.59
Pb 0.0000 0.2454 0.7500 (multiplicity 4)  6 S 2.99-3.18
S 0.0000 0.0903 0.2500 (multiplicity 4)  2 Ag 2.59
S 0.0000 0.3574 0.0619 (multiplicity 8)  1 Ag 2.51

6.
FeCoAgAs: optimized geometry, PBE-GGA.

Results
Magnetization: 14.2 μB/cell
DFT total energy: -0.1993 Ha/atom

Cell: 6.0282 6.0282 6.0282 Å, 90.00 90.00 90.00°
With the nearest neighbours (Å) after each atom.
Space group F-43m (No. 216)
Asymmetric unit:
Fe 0.0000 0.0000 0.0000 (multiplicity 4)  4 As 2.61, 4 Ag 2.61
Co 0.0000 0.0000 0.5000 (multiplicity 4)  4 As 2.61, 4 Ag 2.61
Ag 0.2500 0.2500 0.7500 (multiplicity 4)  4 Fe 2.61, 4 Co 2.61
As 0.2500 0.2500 0.2500 (multiplicity 4)  4 Fe 2.61, 4 Co 2.61

7.
BaHoGa4Au2: optimized geometry, PBE-GGA.

Results
Magnetization: 0.0 μB/cell
DFT total energy: -0.1343 Ha/atom

Cell: 6.8409 4.7185 10.7087 Å, 90.00 90.00 90.00°
With the nearest neighbours (Å) after each atom.
Space group Amm2 (No. 38)
Asymmetric unit:
Ba 0.0000 0.0000 0.0000 (multiplicity 2)  3 Au 3.12-3.25, 6 Ga 3.19-3.39
Ho 0.5000 0.0000 0.8023 (multiplicity 2)  6 Ga 3.11-3.17, 3 Au 3.16-3.25
Ga 0.2043 0.0000 0.2887 (multiplicity 4)  2 Ga 2.71-2.79, 3 Au 2.82-2.87
Ga 0.3107 0.0000 0.5322 (multiplicity 4)  2 Ga 2.59-2.71, 3 Au 2.80-2.84
Au 0.0000 0.0000 0.7087 (multiplicity 2)  6 Ga 2.84-2.87, 1 Ba 3.12
Au 0.5000 0.0000 0.1059 (multiplicity 2)  6 Ga 2.80-2.82

8.
LiLaFeTe3: optimized geometry, PBE-GGA.

Results
Magnetization: 16.0 μB/cell
DFT total energy: -0.1796 Ha/atom

Cell: 4.3591 13.9590 12.1086 Å, 90.00 90.00 90.00°
With the nearest neighbours (Å) after each atom.
Space group Cmcm (No. 63)
Asymmetric unit:
Li 0.0000 0.1792 0.2500 (multiplicity 4)  4 Te 2.97, 2 Fe 3.06
La 0.0000 0.0000 0.0000 (multiplicity 4)  6 Te 3.20-3.24
Fe 0.0000 0.4745 0.7500 (multiplicity 4)  4 Te 2.64-2.66
Te 0.0000 0.0837 0.7500 (multiplicity 4)  2 Fe 2.66
Te 0.0000 0.3499 0.5864 (multiplicity 8)  1 Fe 2.64